*P*
First-principles (GGA-PBE) data for a geometry-optimized Na4Tl5Zn structure, as listed in the Alexandria database.

Cell: 6.514 7.501 7.501 Å, 79.13 64.27 64.27°
Element x y z (fractional)
Tl 0.359 0.000 0.000
Tl 0.135 0.141 0.664
Na 0.859 0.630 0.750
Na 0.238 0.370 0.250
Tl 0.799 0.336 0.141
Tl 0.940 0.859 0.336
Na 0.608 0.250 0.630
Tl 0.276 0.664 0.859
Zn 0.785 0.000 0.000
Na 0.488 0.750 0.370

Results
space group	I4 (79)

***

*Q*
First-principles (GGA-PBE) data for a geometry-optimized Na4Tl5Zn structure, as listed in the Alexandria database.

Cell: 3.768 3.768 19.071 Å, 90.00 90.00 90.00°
Element x y z (fractional)
Na 0.000 0.000 0.398
Na 0.000 0.000 0.192
Tl 0.500 0.500 0.703
Tl 0.500 0.500 0.297
Zn 0.000 0.000 0.000
Na 0.000 0.000 0.808
Tl 0.500 0.500 0.500
Na 0.000 0.000 0.602
Tl 0.500 0.500 0.087
Tl 0.500 0.500 0.913

Results
space group	P4/mmm (123)

***

Energies, relative to the best one, in meV per atom: *P* 37; *Q* 0.

***

*P*
First-principles (GGA-PBE) data for a geometry-optimized NaTl3Zn structure, as listed in the Alexandria database.

Cell: 5.681 5.681 5.681 Å, 90.00 90.00 90.00°
Element x y z (fractional)
Zn 0.500 0.500 0.500
Tl 0.000 0.500 0.000
Na 0.000 0.000 0.000
Tl 0.500 0.000 0.000
Tl 0.000 0.000 0.500

Results
space group	Pm-3m (221)

***

*Q*
First-principles (GGA-PBE) data for a geometry-optimized NaTl3Zn structure, as listed in the Alexandria database.

Cell: 5.439 5.439 5.439 Å, 90.00 90.00 90.00°
Element x y z (fractional)
Na 0.500 0.500 0.500
Tl 0.000 0.000 0.500
Tl 0.000 0.500 0.000
Zn 0.000 0.000 0.000
Tl 0.500 0.000 0.000

Results
space group	Pm-3m (221)

***

Energies, relative to the best one, in meV per atom: *P* 352; *Q* 0.

***

*P*
First-principles (GGA-PBE) data for a geometry-optimized Na2TlZn2 structure, as listed in the Alexandria database.

Cell: 8.860 8.860 3.205 Å, 90.00 90.00 90.00°
Element x y z (fractional)
Tl 0.000 0.000 0.000
Zn 0.657 0.843 0.500
Zn 0.157 0.657 0.500
Zn 0.843 0.343 0.500
Na 0.861 0.639 0.000
Zn 0.343 0.157 0.500
Na 0.639 0.139 0.000
Na 0.139 0.361 0.000
Tl 0.500 0.500 0.000
Na 0.361 0.861 0.000

Results
space group	P4/mbm (127)

***

*Q*
First-principles (GGA-PBE) data for a geometry-optimized Na2TlZn2 structure, as listed in the Alexandria database.

Cell: 4.391 4.391 7.434 Å, 72.82 72.82 90.00°
Element x y z (fractional)
Tl 0.000 0.000 0.000
Na 0.750 0.250 0.500
Na 0.250 0.750 0.500
Zn 0.407 0.407 0.185
Zn 0.593 0.593 0.815

Results
space group	I4/mmm (139)

***

*R*
First-principles (GGA-PBE) data for a geometry-optimized Na2TlZn2 structure, as listed in the Alexandria database.

Cell: 7.699 7.699 4.115 Å, 90.00 90.00 90.00°
Element x y z (fractional)
Zn 0.382 0.882 0.000
Zn 0.618 0.118 0.000
Zn 0.882 0.618 0.000
Tl 0.000 0.000 0.000
Tl 0.500 0.500 0.000
Na 0.178 0.678 0.500
Na 0.822 0.322 0.500
Na 0.678 0.822 0.500
Na 0.322 0.178 0.500
Zn 0.118 0.382 0.000

Results
space group	P4/mbm (127)

***

Energies, relative to the best one, in meV per atom: *P* 107; *Q* 125; *R* 0.

***

*P*
First-principles (GGA-PBE) data for a geometry-optimized NaZrTl structure, as listed in the Alexandria database.

Cell: 3.353 11.519 4.108 Å, 90.00 90.00 90.02°
Element x y z (fractional)
Zr 0.920 0.410 0.807
Na 0.421 0.871 0.307
Tl 0.921 0.702 0.807
Na 0.920 0.093 0.807
Tl 0.420 0.262 0.307
Zr 0.420 0.554 0.307

Results
space group	Pmmn (59)

***

*Q*
First-principles (GGA-PBE) data for a geometry-optimized NaZrTl structure, as listed in the Alexandria database.

Cell: 8.659 3.368 5.313 Å, 90.00 78.58 90.00°
Element x y z (fractional)
Tl 0.666 0.750 0.453
Na 0.987 0.250 0.253
Zr 0.356 0.750 0.042
Na 0.013 0.750 0.747
Tl 0.334 0.250 0.547
Zr 0.644 0.250 0.958

Results
space group	P2_1/m (11)

***

*R*
First-principles (GGA-PBE) data for a geometry-optimized NaZrTl structure, as listed in the Alexandria database.

Cell: 8.925 5.090 3.252 Å, 90.00 81.84 90.00°
Element x y z (fractional)
Tl 0.287 0.750 0.612
Zr 0.394 0.250 0.124
Na 0.048 0.250 0.742
Zr 0.606 0.750 0.876
Tl 0.713 0.250 0.388
Na 0.952 0.750 0.258

Results
space group	P2_1/m (11)

***

*S*
First-principles (GGA-PBE) data for a geometry-optimized NaZrTl structure, as listed in the Alexandria database.

Cell: 8.867 6.524 5.123 Å, 90.00 90.00 90.00°
Element x y z (fractional)
Na 0.833 0.750 0.500
Zr 0.667 0.750 0.000
Zr 0.333 0.250 0.000
Tl 0.000 0.500 0.000
Na 0.333 0.750 0.000
Na 0.167 0.250 0.500
Na 0.667 0.250 0.000
Zr 0.833 0.250 0.500
Tl 0.500 0.500 0.500
Tl 0.500 0.000 0.500
Zr 0.167 0.750 0.500
Tl 0.000 0.000 0.000

Results
space group	P6_3/mmc (194)

***

Energies, relative to the best one, in meV per atom: *P* 0; *Q* 92; *R* 78; *S* 488.